# Be2CoAu | OQMD via LeMat-Bulk | PBE-GGA | optimized geometry
data_Be2CoAu
_chemical_formula_sum 'Be8 Co4 Au4'
_space_group_name_H-M_alt 'F -4 3 m'
_space_group_IT_number 216
_space_group_name_Hall 'F -4 2 3'
_cell_length_a 5.701
_cell_length_b 5.701
_cell_length_c 5.701
_cell_angle_alpha 90.00
_cell_angle_beta 90.00
_cell_angle_gamma 90.00
loop_
_atom_site_label
_atom_site_fract_x
_atom_site_fract_y
_atom_site_fract_z
_atom_site_occupancy
Be1 0.000 0.000 0.000 1
Be2 0.250 0.250 0.250 1
Co1 0.250 0.250 0.750 1
Au1 0.000 0.000 0.500 1
# * uncorrected energy: -0.1590 hartree per atom
# * total moment: 2.1 μB/cell

---

# LaTmCo | OQMD via LeMat-Bulk | PBE-GGA | optimized geometry
data_LaTmCo
_chemical_formula_sum 'La4 Tm4 Co4'
_space_group_name_H-M_alt 'F -4 3 m'
_space_group_IT_number 216
_space_group_name_Hall 'F -4 2 3'
_cell_length_a 6.629
_cell_length_b 6.629
_cell_length_c 6.629
_cell_angle_alpha 90.00
_cell_angle_beta 90.00
_cell_angle_gamma 90.00
loop_
_atom_site_label
_atom_site_fract_x
_atom_site_fract_y
_atom_site_fract_z
_atom_site_occupancy
La1 0.000 0.000 0.000 1
Tm1 0.250 0.250 0.750 1
Co1 0.000 0.000 0.500 1
# * energy relative to the elements: 669.3 meV per atom
# * uncorrected energy: -0.1776 hartree per atom
# * excess energy over the best structure of this formula in the dataset: 0 meV per atom
# * total moment: 0.1 μB/cell

---

# KHoZnTe3 | OQMD via LeMat-Bulk | PBE-GGA | optimized geometry
data_KHoZnTe3
_chemical_formula_sum 'K4 Ho4 Zn4 Te12'
_space_group_name_H-M_alt 'P n m a'
_space_group_IT_number 62
_space_group_name_Hall '-P 2ac 2n'
_cell_length_a 11.665
_cell_length_b 4.371
_cell_length_c 15.876
_cell_angle_alpha 90.00
_cell_angle_beta 90.00
_cell_angle_gamma 90.00
loop_
_atom_site_label
_atom_site_fract_x
_atom_site_fract_y
_atom_site_fract_z
_atom_site_occupancy
K1 0.230 0.250 0.003 1
Ho1 0.016 0.750 0.746 1
Zn1 0.237 0.750 0.215 1
Te1 0.045 0.750 0.124 1
Te2 0.077 0.250 0.618 1
Te3 0.236 0.250 0.320 1
# * uncorrected energy: -0.1397 hartree per atom
# * excess energy over the best structure of this formula in the dataset: 0 meV per atom
# * total moment: 0.0 μB/cell